BaGaFe2Au (PBE, optimized geometry); crystal system = tetragonal; calculated formation energy = 2.01 eV/atom
1.0
-3.357 2.749 1.875
-2.548 -4.361 1.831
2.459 0.255 4.029
Fe Ga Au Ba
2 1 1 1
Cartesian
-1.679 1.375 0.938
1.230 0.127 2.015
-1.274 -2.181 0.916
-1.723 -0.679 3.868
0.000 0.000 0.000


Ca2NpAgTe4 (PBE, optimized geometry); crystal system = monoclinic; calculated total energy = -40.05 eV per cell
1.0
4.472 0.000 0.000
0.000 7.718 0.105
0.000 -2.724 7.256
Ag Te Ca Np
1 4 2 1
Cartesian
2.236 3.859 0.053
2.236 3.758 5.539
2.236 1.237 1.823
0.000 5.087 1.807
0.000 -0.092 5.554
0.000 2.497 3.681
2.236 -1.362 3.628
0.000 0.000 0.000


Be4Cu3Pd (PBE, optimized geometry); crystal system = tetragonal; calculated formation energy = -0.21 eV/atom
1.0
2.771 0.000 0.000
0.000 2.771 0.000
0.000 0.000 10.659
Cu Pd Be
3 1 4
Cartesian
1.385 1.385 2.727
1.385 1.385 5.330
1.385 1.385 7.932
1.385 1.385 0.000
0.000 0.000 9.205
0.000 0.000 4.050
0.000 0.000 1.455
0.000 0.000 6.610


Record-wise D(E_F) values, in states/eV/cell: 4.952, 7.114, 2.240
Record-wise ρ values, in kg/m³: 7132, 6171, 6759
Record-wise M_tot values, in μB/cell: 4.3, 4.0, 0.0